## LaCdHg2 (PBE)

Data for an optimized crystal structure of LaCdHg2.

abc: 9.5523 9.5523 9.5523
angles: 22.98 22.98 22.98
Fractional coordinates of all 4 atoms:
Cd: 0.7412 0.7412 0.7412
Hg: 0.0006 0.0006 0.0006
Hg: 0.2571 0.2571 0.2571
La: 0.5012 0.5012 0.5012

DFT formation energy = -0.528 eV/f.u.
total magnetization = 0.0 μB/cell
SG = R3m (160)

## La3Cd4Hg4 (PBE)

Data for an optimized crystal structure of La3Cd4Hg4.

abc: 3.7514 5.0022 15.8724
angles: 81.04 83.22 90.04
Fractional coordinates of all 11 atoms:
La: 0.1416 0.6413 0.7168
La: 0.8585 0.3588 0.2832
La: 0.0000 0.0000 0.0000
Cd: 0.5930 0.0926 0.8144
Cd: 0.2613 0.2628 0.4763
Cd: 0.7386 0.7372 0.5238
Cd: 0.4070 0.9074 0.1856
Hg: 0.5477 0.5479 0.9047
Hg: 0.4524 0.4521 0.0953
Hg: 0.3157 0.8155 0.3709
Hg: 0.6843 0.1845 0.6291

DFT formation energy = -4.131 eV/f.u.
total magnetization = 0.0 μB/cell
SG = C2/m (12)

## La2Cd15Hg2 (PBE)

Data for an optimized crystal structure of La2Cd15Hg2.

abc: 7.7214 7.7214 7.7214
angles: 82.68 82.68 82.68
Fractional coordinates of all 19 atoms:
La: 0.3307 0.3307 0.3307
La: 0.6693 0.6693 0.6693
Cd: 0.5000 0.0000 0.0000
Cd: 0.0000 0.0000 0.5000
Cd: 0.0000 0.5000 0.0000
Cd: 0.0000 0.7006 0.2994
Cd: 0.7006 0.2994 0.0000
Cd: 0.2994 0.0000 0.7006
Cd: 0.2994 0.7006 0.0000
Cd: 0.7006 0.0000 0.2994
Cd: 0.0000 0.2994 0.7006
Cd: 0.1641 0.6401 0.6401
Cd: 0.6401 0.6401 0.1641
Cd: 0.6401 0.1641 0.6401
Cd: 0.8359 0.3599 0.3599
Cd: 0.3599 0.3599 0.8359
Cd: 0.3599 0.8359 0.3599
Hg: 0.1044 0.1044 0.1044
Hg: 0.8956 0.8956 0.8956

DFT formation energy = -3.469 eV/f.u.
total magnetization = 0.0 μB/cell
SG = R-3m (166)